Entry 1:
# CoNiMoAs GGA-PBE optimized geometry
data_CoNiMoAs
_cell_length_a 5.9106
_cell_length_b 5.9106
_cell_length_c 5.9106
_cell_angle_alpha 90.00
_cell_angle_beta 90.00
_cell_angle_gamma 90.00
_space_group_name_H-M_alt 'F -4 3 m'
_space_group_IT_number 216
_space_group_name_Hall 'F -4 2 3'
loop_
_atom_site_label
_atom_site_fract_x
_atom_site_fract_y
_atom_site_fract_z
Co1 0.0000 0.0000 0.0000
Ni1 0.2500 0.2500 0.7500
Mo1 0.2500 0.2500 0.2500
As1 0.0000 0.0000 0.5000
# ΔE to the lowest computed polymorph (eV per atom): 0.0282

Entry 2:
# Li4SmPaO6 GGA-PBE optimized geometry
data_Li4SmPaO6
_cell_length_a 5.6783
_cell_length_b 9.9012
_cell_length_c 5.3065
_cell_angle_alpha 90.00
_cell_angle_beta 109.97
_cell_angle_gamma 90.00
_space_group_name_H-M_alt 'C 1 2 1'
_space_group_IT_number 5
loop_
_space_group_symop_operation_xyz
'x,y,z'
'-x,y,-z'
'x+1/2,y+1/2,z'
'-x+1/2,y+1/2,-z'
loop_
_atom_site_label
_atom_site_fract_x
_atom_site_fract_y
_atom_site_fract_z
Li1 0.0000 0.0000 0.0000
Li2 0.0000 0.1303 0.5000
Li3 0.0000 0.4985 0.5000
Li4 0.0000 0.8634 0.5000
Sm1 0.0000 0.6686 0.0000
Pa1 0.0000 0.3335 0.0000
O1 0.2334 0.1713 0.2444
O2 0.2413 0.4948 0.2545
O3 0.2469 0.3414 0.7639
# DFT total energy (eV/atom): -6.7578

Entry 3:
# LiHfFeBi GGA-PBE optimized geometry
data_LiHfFeBi
_cell_length_a 6.3678
_cell_length_b 6.3678
_cell_length_c 6.3678
_cell_angle_alpha 90.00
_cell_angle_beta 90.00
_cell_angle_gamma 90.00
_space_group_name_H-M_alt 'F -4 3 m'
_space_group_IT_number 216
_space_group_name_Hall 'F -4 2 3'
loop_
_atom_site_label
_atom_site_fract_x
_atom_site_fract_y
_atom_site_fract_z
Li1 0.0000 0.0000 0.0000
Hf1 0.2500 0.2500 0.7500
Fe1 0.0000 0.0000 0.5000
Bi1 0.2500 0.2500 0.2500
# ΔE to the lowest computed polymorph (eV per atom): 0.0000

Entry 4:
# YZrNO GGA-PBE optimized geometry
data_YZrNO
_cell_length_a 4.1747
_cell_length_b 4.1747
_cell_length_c 8.2005
_cell_angle_alpha 90.00
_cell_angle_beta 90.00
_cell_angle_gamma 90.00
_space_group_name_H-M_alt 'P 4/n m m'
_space_group_IT_number 129
loop_
_space_group_symop_operation_xyz
'x,y,z'
'-x,-y,-z'
'-y+1/2,x,z'
'y+1/2,-x,-z'
'-x+1/2,-y+1/2,z'
'x+1/2,y+1/2,-z'
'y,-x+1/2,z'
'-y,x+1/2,-z'
'x+1/2,-y,-z'
'-x+1/2,y,z'
'-y,-x,-z'
'y,x,z'
'-x,y+1/2,-z'
'x,-y+1/2,z'
'y+1/2,x+1/2,-z'
'-y+1/2,-x+1/2,z'
loop_
_atom_site_label
_atom_site_fract_x
_atom_site_fract_y
_atom_site_fract_z
Y1 0.2500 0.2500 0.1142
Zr1 0.2500 0.7500 0.5000
N1 0.2500 0.2500 0.5711
O1 0.2500 0.7500 0.0000
# ΔE to the lowest computed polymorph (eV per atom): 0.1776

Copy entry 2 word for word.
# Li4SmPaO6 GGA-PBE optimized geometry
data_Li4SmPaO6
_cell_length_a 5.6783
_cell_length_b 9.9012
_cell_length_c 5.3065
_cell_angle_alpha 90.00
_cell_angle_beta 109.97
_cell_angle_gamma 90.00
_space_group_name_H-M_alt 'C 1 2 1'
_space_group_IT_number 5
loop_
_space_group_symop_operation_xyz
'x,y,z'
'-x,y,-z'
'x+1/2,y+1/2,z'
'-x+1/2,y+1/2,-z'
loop_
_atom_site_label
_atom_site_fract_x
_atom_site_fract_y
_atom_site_fract_z
Li1 0.0000 0.0000 0.0000
Li2 0.0000 0.1303 0.5000
Li3 0.0000 0.4985 0.5000
Li4 0.0000 0.8634 0.5000
Sm1 0.0000 0.6686 0.0000
Pa1 0.0000 0.3335 0.0000
O1 0.2334 0.1713 0.2444
O2 0.2413 0.4948 0.2545
O3 0.2469 0.3414 0.7639
# DFT total energy (eV/atom): -6.7578